(1)
A plane-wave DFT calculation with PBE was carried out for crystalline InNiPt2 at its relaxed geometry.

a = 3.3450 Å, b = 3.3450 Å, c = 5.7017 Å
α = 90.00°, β = 90.00°, γ = 90.00°
Closest atoms and distances in Å follow each position.
Fractional coordinates of all 4 atoms:
Pt: 0.0000 0.0000 0.9747  4 Ni 2.63, 1 In 2.69, 4 Pt 2.83
Pt: 0.5000 0.5000 0.2472  2 Ni 2.69-3.01, 4 In 2.78, 4 Pt 2.83
Ni: 0.5000 0.5000 0.7750  5 Pt 2.63-2.69, 4 In 2.83
In: 0.0000 0.0000 0.5032  5 Pt 2.69-2.78, 4 Ni 2.83

Calculated values
- Space group: No. 99
- Fermi-level density of states: 3.75 states/eV/cell
- ΔH_f (0 K): -0.6 eV per formula unit

(2)
A plane-wave DFT calculation with PBE was carried out for crystalline Ce3Pa at its relaxed geometry.

a = 3.2260 Å, b = 5.6171 Å, c = 6.5438 Å
α = 115.42°, β = 104.27°, γ = 90.00°
Closest atoms and distances in Å follow each position.
Fractional coordinates of all 4 atoms:
Ce: 0.7395 0.0933 0.4790  9 Ce 3.23-3.50, 3 Pa 3.27-3.58
Ce: 0.2605 0.6143 0.5210  9 Ce 3.23-3.50, 3 Pa 3.27-3.58
Ce: 0.5000 0.4628 0.0000  4 Pa 3.08-3.40, 6 Ce 3.23-3.43
Pa: 0.0000 0.9963 0.0000  8 Ce 3.08-3.40, 2 Pa 3.23

Calculated values
- Polymorph energy (0 for the lowest one): 1.303 kcal/mol of atoms
- Space group: No. 44
- Fermi-level density of states: 10.68 states/eV/cell
- ΔH_f (0 K): 0.4 eV per formula unit

(3)
A plane-wave DFT calculation with PBE was carried out for crystalline YMgMo2 at its relaxed geometry.

a = 3.5833 Å, b = 4.4597 Å, c = 4.8054 Å
α = 90.00°, β = 90.00°, γ = 90.00°
Closest atoms and distances in Å follow each position.
Fractional coordinates of all 4 atoms:
Y: 0.5000 0.0000 0.5000  4 Mg 2.86, 4 Mo 3.00
Mo: 0.0000 0.0000 0.0000  4 Mo 2.86, 4 Y 3.00
Mo: 0.5000 0.5000 0.0000  4 Mo 2.86, 4 Mg 3.00
Mg: 0.0000 0.5000 0.5000  4 Y 2.86, 4 Mo 3.00

Calculated values
- Space group: No. 47
- Fermi-level density of states: 3.33 states/eV/cell
- ΔH_f (0 K): 1.7 eV per formula unit

(4)
A plane-wave DFT calculation with PBE was carried out for crystalline SnAs2SeN at its relaxed geometry.

a = 4.4451 Å, b = 4.4451 Å, c = 4.6776 Å
α = 90.00°, β = 90.00°, γ = 90.00°
Closest atoms and distances in Å follow each position.
Fractional coordinates of all 5 atoms:
N: 0.0000 0.0000 0.0000  4 As 2.22, 2 Se 2.34
As: 0.0000 0.5000 0.0000  2 N 2.22
As: 0.5000 0.0000 0.0000  2 N 2.22
Sn: 0.5000 0.5000 0.5000  4 Se 3.14, 8 As 3.23
Se: 0.0000 0.0000 0.5000  2 N 2.34

Calculated values
- Polymorph energy (0 for the lowest one): 0.000 kcal/mol of atoms
- Uncorrected formation energy: 0.68 eV per atom
- Space group: No. 123
- Fermi-level density of states: 3.32 states/eV/cell

Question: Look up the Fermi-level density of states of the first one.
Answer: 3.75 states/eV/cell